No. 1
# NaTlHg10

A relaxed structure of NaTlHg10 (PBE, Alexandria).

Computed properties:
Calculated volume = 358.3 Å³ per cell
Crystal system = orthorhombic

The structure in CIF format:
```
data_NaTlHg10
_chemical_formula_sum 'Na1 Tl1 Hg10'
_space_group_name_H-M_alt 'P m m m'
_space_group_IT_number 47
_cell_length_a 5.608
_cell_length_b 6.025
_cell_length_c 10.605
_cell_angle_alpha 90.00
_cell_angle_beta 90.00
_cell_angle_gamma 90.00
loop_
_space_group_symop_operation_xyz
'x,y,z'
'-x,-y,-z'
'-x,-y,z'
'x,y,-z'
'x,-y,-z'
'-x,y,z'
'-x,y,-z'
'x,-y,z'
loop_
_atom_site_label
_atom_site_type_symbol
_atom_site_fract_x
_atom_site_fract_y
_atom_site_fract_z
Na1 Na 0.000 0.000 0.000
Tl1 Tl 0.000 0.500 0.500
Hg1 Hg 0.000 0.000 0.323
Hg2 Hg 0.000 0.500 0.159
Hg3 Hg 0.500 0.000 0.500
Hg4 Hg 0.500 0.250 0.251
Hg5 Hg 0.500 0.500 0.000
```

---

No. 2
# Na3Tl2Hg5

A relaxed structure of Na3Tl2Hg5 (PBE, Alexandria).

Computed properties:
Calculated volume = 1072.9 Å³ per cell
Crystal system = monoclinic

The structure in CIF format:
```
data_Na3Tl2Hg5
_chemical_formula_sum 'Na12 Tl8 Hg20'
_space_group_name_H-M_alt 'C 1 2/c 1'
_space_group_IT_number 15
_cell_length_a 11.353
_cell_length_b 14.774
_cell_length_c 6.399
_cell_angle_alpha 90.00
_cell_angle_beta 91.53
_cell_angle_gamma 90.00
loop_
_space_group_symop_operation_xyz
'x,y,z'
'-x,-y,-z'
'-x,y,-z+1/2'
'x,-y,z+1/2'
'x+1/2,y+1/2,z'
'-x+1/2,-y+1/2,-z'
'-x+1/2,y+1/2,-z+1/2'
'x+1/2,-y+1/2,z+1/2'
loop_
_atom_site_label
_atom_site_type_symbol
_atom_site_fract_x
_atom_site_fract_y
_atom_site_fract_z
Na1 Na 0.000 0.047 0.250
Na2 Na 0.136 0.354 0.612
Tl1 Tl 0.130 0.255 0.136
Hg1 Hg 0.000 0.464 0.250
Hg2 Hg 0.116 0.147 0.632
Hg3 Hg 0.247 0.040 0.010
```

---

No. 3
# Na4TlHg7

A relaxed structure of Na4TlHg7 (PBE, Alexandria).

Computed properties:
Calculated volume = 331.1 Å³ per cell
Crystal system = triclinic

The structure in CIF format:
```
data_Na4TlHg7
_chemical_formula_sum 'Na4 Tl1 Hg7'
_space_group_name_H-M_alt 'P -1'
_space_group_IT_number 2
_cell_length_a 6.126
_cell_length_b 6.226
_cell_length_c 8.989
_cell_angle_alpha 85.71
_cell_angle_beta 79.04
_cell_angle_gamma 79.91
loop_
_space_group_symop_operation_xyz
'x,y,z'
'-x,-y,-z'
loop_
_atom_site_label
_atom_site_type_symbol
_atom_site_fract_x
_atom_site_fract_y
_atom_site_fract_z
Na1 Na 0.119 0.396 0.197
Na2 Na 0.225 0.857 0.355
Tl1 Tl 0.000 0.000 0.000
Hg1 Hg 0.247 0.358 0.536
Hg2 Hg 0.322 0.892 0.680
Hg3 Hg 0.385 0.456 0.859
Hg4 Hg 0.500 0.000 0.000
```

---

No. 4
# Na2TlHg16

A relaxed structure of Na2TlHg16 (PBE, Alexandria).

Computed properties:
Calculated volume = 1595.4 Å³ per cell
Crystal system = trigonal

The structure in CIF format:
```
data_Na2TlHg16
_chemical_formula_sum 'Na6 Tl3 Hg48'
_space_group_name_H-M_alt 'R 3 m'
_space_group_IT_number 160
_space_group_name_Hall 'R 3 -2"'
_cell_length_a 9.7396
_cell_length_b 9.7396
_cell_length_c 19.4200
_cell_angle_alpha 90.00
_cell_angle_beta 90.00
_cell_angle_gamma 120.00
loop_
_atom_site_label
_atom_site_type_symbol
_atom_site_fract_x
_atom_site_fract_y
_atom_site_fract_z
Na1 Na 0.0000 0.0000 0.0000
Na2 Na 0.0000 0.0000 0.2939
Tl1 Tl 0.0000 0.0000 0.5266
Hg1 Hg 0.0000 0.0000 0.6927
Hg2 Hg 0.0005 0.3206 0.6181
Hg3 Hg 0.1959 0.3918 0.0810
Hg4 Hg 0.2083 0.4166 0.4755
Hg5 Hg 0.2190 0.4380 0.8174
```

---

No. 5
# Na3Tl2Hg

A relaxed structure of Na3Tl2Hg (PBE, Alexandria).

Computed properties:
Polymorph energy (0 for the lowest one) = 0.00 kcal/mol of atoms
Calculated volume = 648.1 Å³ per cell
Crystal system = monoclinic

The structure in CIF format:
```
data_Na3Tl2Hg
_chemical_formula_sum 'Na12 Tl8 Hg4'
_space_group_name_H-M_alt 'C 1 2/c 1'
_space_group_IT_number 15
_cell_length_a 16.993
_cell_length_b 7.079
_cell_length_c 5.610
_cell_angle_alpha 90.00
_cell_angle_beta 106.19
_cell_angle_gamma 90.00
loop_
_space_group_symop_operation_xyz
'x,y,z'
'-x,-y,-z'
'-x,y,-z+1/2'
'x,-y,z+1/2'
'x+1/2,y+1/2,z'
'-x+1/2,-y+1/2,-z'
'-x+1/2,y+1/2,-z+1/2'
'x+1/2,-y+1/2,z+1/2'
loop_
_atom_site_label
_atom_site_type_symbol
_atom_site_fract_x
_atom_site_fract_y
_atom_site_fract_z
Na1 Na 0.000 0.138 0.250
Na2 Na 0.166 0.380 0.501
Tl1 Tl 0.163 0.125 0.980
Hg1 Hg 0.000 0.379 0.750
```

---

No. 6
# NaTl2Hg

A relaxed structure of NaTl2Hg (PBE, Alexandria).

Computed properties:
Calculated volume = 249.5 Å³ per cell
Crystal system = orthorhombic

The structure in CIF format:
```
data_NaTl2Hg
_chemical_formula_sum 'Na2 Tl4 Hg2'
_space_group_name_H-M_alt 'I m m m'
_space_group_IT_number 71
_space_group_name_Hall '-I 2 2'
_cell_length_a 3.373
_cell_length_b 5.733
_cell_length_c 12.901
_cell_angle_alpha 90.00
_cell_angle_beta 90.00
_cell_angle_gamma 90.00
loop_
_atom_site_label
_atom_site_type_symbol
_atom_site_fract_x
_atom_site_fract_y
_atom_site_fract_z
Na1 Na 0.000 0.000 0.000
Tl1 Tl 0.000 0.000 0.268
Hg1 Hg 0.000 0.000 0.500
```

---

No. 7
# Na3Tl3Hg8

A relaxed structure of Na3Tl3Hg8 (PBE, Alexandria).

Computed properties:
Calculated volume = 818.2 Å³ per cell
Crystal system = orthorhombic

The structure in CIF format:
```
data_Na3Tl3Hg8
_chemical_formula_sum 'Na6 Tl6 Hg16'
_space_group_name_H-M_alt 'I m m m'
_space_group_IT_number 71
_space_group_name_Hall '-I 2 2'
_cell_length_a 5.297
_cell_length_b 10.925
_cell_length_c 14.139
_cell_angle_alpha 90.00
_cell_angle_beta 90.00
_cell_angle_gamma 90.00
loop_
_atom_site_label
_atom_site_type_symbol
_atom_site_fract_x
_atom_site_fract_y
_atom_site_fract_z
Na1 Na 0.000 0.000 0.000
Na2 Na 0.000 0.000 0.281
Tl1 Tl 0.000 0.174 0.500
Tl2 Tl 0.000 0.500 0.000
Hg1 Hg 0.000 0.263 0.136
Hg2 Hg 0.000 0.367 0.336
```

---

No. 8
# NaTl4Hg

A relaxed structure of NaTl4Hg (PBE, Alexandria).

Computed properties:
Polymorph energy (0 for the lowest one) = 0.00 kcal/mol of atoms
Calculated volume = 714.2 Å³ per cell
Crystal system = monoclinic

The structure in CIF format:
```
data_NaTl4Hg
_chemical_formula_sum 'Na4 Tl16 Hg4'
_space_group_name_H-M_alt 'C 1 2/c 1'
_space_group_IT_number 15
_cell_length_a 6.520
_cell_length_b 19.374
_cell_length_c 5.990
_cell_angle_alpha 90.00
_cell_angle_beta 109.27
_cell_angle_gamma 90.00
loop_
_space_group_symop_operation_xyz
'x,y,z'
'-x,-y,-z'
'-x,y,-z+1/2'
'x,-y,z+1/2'
'x+1/2,y+1/2,z'
'-x+1/2,-y+1/2,-z'
'-x+1/2,y+1/2,-z+1/2'
'x+1/2,-y+1/2,z+1/2'
loop_
_atom_site_label
_atom_site_type_symbol
_atom_site_fract_x
_atom_site_fract_y
_atom_site_fract_z
Na1 Na 0.000 0.123 0.250
Tl1 Tl 0.243 0.462 0.225
Tl2 Tl 0.249 0.289 0.248
Hg1 Hg 0.000 0.372 0.750
```

---

No. 9
# Na2Tl2Hg

A relaxed structure of Na2Tl2Hg (PBE, Alexandria).

Computed properties:
Polymorph energy (0 for the lowest one) = 2.68 kcal/mol of atoms
Calculated volume = 292.6 Å³ per cell
Crystal system = tetragonal

The structure in CIF format:
```
data_Na2Tl2Hg
_chemical_formula_sum 'Na4 Tl4 Hg2'
_space_group_name_H-M_alt 'P 4/m b m'
_space_group_IT_number 127
_space_group_name_Hall '-P 4 2ab'
_cell_length_a 8.148
_cell_length_b 8.148
_cell_length_c 4.408
_cell_angle_alpha 90.00
_cell_angle_beta 90.00
_cell_angle_gamma 90.00
loop_
_atom_site_label
_atom_site_type_symbol
_atom_site_fract_x
_atom_site_fract_y
_atom_site_fract_z
Na1 Na 0.145 0.355 0.000
Tl1 Tl 0.158 0.658 0.500
Hg1 Hg 0.000 0.000 0.000
```

---

No. 10
# NaTl3Hg2

A relaxed structure of NaTl3Hg2 (PBE, Alexandria).

Computed properties:
Polymorph energy (0 for the lowest one) = 0.23 kcal/mol of atoms
Calculated volume = 707.3 Å³ per cell
Crystal system = monoclinic

The structure in CIF format:
```
data_NaTl3Hg2
_chemical_formula_sum 'Na4 Tl12 Hg8'
_space_group_name_H-M_alt 'C 1 2/m 1'
_space_group_IT_number 12
_cell_length_a 16.401
_cell_length_b 5.223
_cell_length_c 8.301
_cell_angle_alpha 90.00
_cell_angle_beta 95.85
_cell_angle_gamma 90.00
loop_
_space_group_symop_operation_xyz
'x,y,z'
'-x,-y,-z'
'-x,y,-z'
'x,-y,z'
'x+1/2,y+1/2,z'
'-x+1/2,-y+1/2,-z'
'-x+1/2,y+1/2,-z'
'x+1/2,-y+1/2,z'
loop_
_atom_site_label
_atom_site_type_symbol
_atom_site_fract_x
_atom_site_fract_y
_atom_site_fract_z
Na1 Na 0.153 0.000 0.274
Tl1 Tl 0.067 0.000 0.854
Tl2 Tl 0.113 0.500 0.570
Tl3 Tl 0.190 0.500 0.985
Hg1 Hg 0.040 0.500 0.198
Hg2 Hg 0.226 0.000 0.645
```

---

No. 11
# Na3Tl2Hg7

A relaxed structure of Na3Tl2Hg7 (PBE, Alexandria).

Computed properties:
Calculated volume = 334.2 Å³ per cell
Crystal system = monoclinic

The structure in CIF format:
```
data_Na3Tl2Hg7
_chemical_formula_sum 'Na3 Tl2 Hg7'
_space_group_name_H-M_alt 'P 1 2/m 1'
_space_group_IT_number 10
_cell_length_a 5.222
_cell_length_b 3.566
_cell_length_c 17.976
_cell_angle_alpha 90.00
_cell_angle_beta 93.24
_cell_angle_gamma 90.00
loop_
_space_group_symop_operation_xyz
'x,y,z'
'-x,-y,-z'
'-x,y,-z'
'x,-y,z'
loop_
_atom_site_label
_atom_site_type_symbol
_atom_site_fract_x
_atom_site_fract_y
_atom_site_fract_z
Na1 Na 0.000 0.000 0.000
Na2 Na 0.272 0.500 0.618
Tl1 Tl 0.213 0.000 0.289
Hg1 Hg 0.169 0.500 0.135
Hg2 Hg 0.242 0.000 0.459
Hg3 Hg 0.310 0.000 0.808
Hg4 Hg 0.500 0.500 0.000
```

---

No. 12
# Na5Tl2Hg5

A relaxed structure of Na5Tl2Hg5 (PBE, Alexandria).

Computed properties:
Calculated volume = 643.2 Å³ per cell
Crystal system = monoclinic

The structure in CIF format:
```
data_Na5Tl2Hg5
_chemical_formula_sum 'Na10 Tl4 Hg10'
_space_group_name_H-M_alt 'C 1 2/m 1'
_space_group_IT_number 12
_cell_length_a 12.044
_cell_length_b 5.063
_cell_length_c 11.385
_cell_angle_alpha 90.00
_cell_angle_beta 112.09
_cell_angle_gamma 90.00
loop_
_space_group_symop_operation_xyz
'x,y,z'
'-x,-y,-z'
'-x,y,-z'
'x,-y,z'
'x+1/2,y+1/2,z'
'-x+1/2,-y+1/2,-z'
'-x+1/2,y+1/2,-z'
'x+1/2,-y+1/2,z'
loop_
_atom_site_label
_atom_site_type_symbol
_atom_site_fract_x
_atom_site_fract_y
_atom_site_fract_z
Na1 Na 0.000 0.000 0.000
Na2 Na 0.110 0.000 0.765
Na3 Na 0.157 0.000 0.497
Tl1 Tl 0.086 0.500 0.242
Hg1 Hg 0.000 0.500 0.500
Hg2 Hg 0.172 0.500 0.966
Hg3 Hg 0.249 0.000 0.276
```

---

| no. | E_form (eV/atom) |
| --- | --- |
| 1 | -0.007 |
| 2 | -0.151 |
| 3 | -0.160 |
| 4 | -0.069 |
| 5 | -0.164 |
| 6 | -0.050 |
| 7 | -0.102 |
| 8 | -0.032 |
| 9 | -0.046 |
| 10 | -0.068 |
| 11 | -0.120 |
| 12 | -0.188 |